1.
A plane-wave DFT calculation with PBE was carried out for a geometry-optimized AcY2Os structure.

Cell lengths 3.5079, 3.5079, 9.5162 Å; angles 90.00, 90.00, 90.00 degrees
Positions (direct):
Ac 0.0000 0.0000 0.0000
Y 0.5000 0.5000 0.3289
Y 0.5000 0.5000 0.6711
Os 0.0000 0.0000 0.5000

Results
The value obtained for the calculated volume is 117.1 Å³ per cell. Its formation energy is -0.07 eV per atom. As for the energy above the most stable polymorph in this dataset: 67 meV/atom. Its space-group type is P4/mmm (123).

---

2.
A plane-wave DFT calculation with PBE was carried out for a geometry-optimized AcY3Os structure.

Cell lengths 5.5122, 5.5122, 5.5122 Å; angles 90.00, 90.00, 90.00 degrees
Positions (direct):
Ac 0.0000 0.0000 0.0000
Y 0.0000 0.5000 0.5000
Y 0.5000 0.0000 0.5000
Y 0.5000 0.5000 0.0000
Os 0.5000 0.5000 0.5000

Results
The value obtained for the calculated volume is 167.5 Å³ per cell. Its formation energy is -0.04 eV per atom. Its space-group type is Pm-3m (221).

---

3.
A plane-wave DFT calculation with PBE was carried out for a geometry-optimized AcYZnOs structure.

Cell lengths 7.2705, 7.2705, 7.2705 Å; angles 90.00, 90.00, 90.00 degrees
Positions (direct):
Ac 0.0000 0.0000 0.0000
Ac 0.0000 0.5000 0.5000
Ac 0.5000 0.0000 0.5000
Ac 0.5000 0.5000 0.0000
Y 0.0000 0.0000 0.5000
Y 0.0000 0.5000 0.0000
Y 0.5000 0.0000 0.0000
Y 0.5000 0.5000 0.5000
Zn 0.2500 0.2500 0.2500
Zn 0.2500 0.7500 0.7500
Zn 0.7500 0.2500 0.7500
Zn 0.7500 0.7500 0.2500
Os 0.2500 0.2500 0.7500
Os 0.2500 0.7500 0.2500
Os 0.7500 0.2500 0.2500
Os 0.7500 0.7500 0.7500

Results
The value obtained for the calculated volume is 384.3 Å³ per cell. Its formation energy is -0.05 eV per atom. Its space-group type is F-43m (216).

---

- Which value of calculated volume does entry 1 give?
  117.1 Å³ per cell

---

Repeat the first record exactly.
A plane-wave DFT calculation with PBE was carried out for a geometry-optimized AcY2Os structure.

Cell lengths 3.5079, 3.5079, 9.5162 Å; angles 90.00, 90.00, 90.00 degrees
Positions (direct):
Ac 0.0000 0.0000 0.0000
Y 0.5000 0.5000 0.3289
Y 0.5000 0.5000 0.6711
Os 0.0000 0.0000 0.5000

Results
The value obtained for the calculated volume is 117.1 Å³ per cell. Its formation energy is -0.07 eV per atom. As for the energy above the most stable polymorph in this dataset: 67 meV/atom. Its space-group type is P4/mmm (123).